1.
The following is a PBE calculation of a geometry-optimized SrDySb2 structure, from the Alexandria database.

Summary:
The value obtained for the total DFT energy (no corrections) is -4.578 eV per atom. Its formation energy from raw total energies is -0.946 eV per atom. Its crystal system is trigonal. As for the calculated volume: 403.4 Å³ per cell. The offset from the most stable computed form is 0 meV/atom. The calculation puts the total moment at 0.00 μB per formula unit.

Lattice parameters (Å, degrees): 4.4515 4.4515 23.5078 90.00 90.00 120.00
Space group R-3m (No. 166, hexagonal axes)
Inequivalent atoms, fractional coordinates:
Sr1 0.0000 0.0000 0.0000 x3
Dy1 0.0000 0.0000 0.5000 x3
Sb1 0.0000 0.0000 0.2416 x6


2.
The following is a PBE calculation of a geometry-optimized SrDySb2 structure, from the Alexandria database.

Summary:
The value obtained for the total DFT energy (no corrections) is -4.495 eV per atom. Its formation energy from raw total energies is -0.863 eV per atom. Its crystal system is trigonal. As for the calculated volume: 417.2 Å³ per cell. The offset from the most stable computed form is 83 meV/atom. The calculation puts the total moment at 0.00 μB per formula unit.

Lattice parameters (Å, degrees): 4.6618 4.6618 22.1691 90.00 90.00 120.00
Space group R3m (No. 160, hexagonal axes)
Inequivalent atoms, fractional coordinates:
Sr1 0.0000 0.0000 0.0000 x3
Dy1 0.0000 0.0000 0.8275 x3
Sb1 0.0000 0.0000 0.4231 x3
Sb2 0.0000 0.0000 0.5711 x3


3.
The following is a PBE calculation of a geometry-optimized Sr3DyTh2Sb6 structure, from the Alexandria database.

Summary:
The value obtained for the total DFT energy (no corrections) is -5.097 eV per atom. Its formation energy from raw total energies is -0.995 eV per atom. Its crystal system is monoclinic. As for the calculated volume: 838.1 Å³ per cell. The calculation puts the total moment at 0.00 μB per formula unit.

Lattice parameters (Å, degrees): 7.938 13.755 8.121 90.00 109.03 90.00
Space group C2/m (No. 12)
Inequivalent atoms, fractional coordinates:
Sr1 0.000 0.000 0.000 x2
Sr2 0.000 0.332 0.000 x4
Dy1 0.000 0.500 0.500 x2
Th1 0.000 0.166 0.500 x4
Sb1 0.241 0.335 0.728 x8
Sb2 0.247 0.000 0.730 x4


4.
The following is a PBE calculation of a geometry-optimized DyTaSb structure, from the Alexandria database.

Summary:
The value obtained for the total DFT energy (no corrections) is -7.401 eV per atom. Its formation energy from raw total energies is -0.542 eV per atom. Its crystal system is tetragonal. As for the calculated volume: 139.7 Å³ per cell. The calculation puts the total moment at 0.00 μB per formula unit.

Lattice parameters (Å, degrees): 4.141 4.141 8.146 90.00 90.00 90.00
Space group P4/nmm (No. 129, origin choice 2)
Inequivalent atoms, fractional coordinates:
Dy1 0.250 0.250 0.142 x2
Ta1 0.250 0.750 0.500 x2
Sb1 0.250 0.250 0.753 x2


5.
The following is a PBE calculation of a geometry-optimized TbDy4Sb5 structure, from the Alexandria database.

Summary:
The value obtained for the total DFT energy (no corrections) is -5.502 eV per atom. Its formation energy from raw total energies is -1.137 eV per atom. Its crystal system is tetragonal. As for the calculated volume: 596.7 Å³ per cell. The calculation puts the total moment at 0.00 μB per formula unit.

Lattice parameters (Å, degrees): 4.387 4.387 31.013 90.00 90.00 90.00
Space group I4/mmm (No. 139)
Inequivalent atoms, fractional coordinates:
Tb1 0.000 0.000 0.000 x2
Dy1 0.000 0.000 0.200 x4
Dy2 0.000 0.000 0.400 x4
Sb1 0.000 0.000 0.100 x4
Sb2 0.000 0.000 0.300 x4
Sb3 0.000 0.000 0.500 x2


6.
The following is a PBE calculation of a geometry-optimized TbDy4Sb2 structure, from the Alexandria database.

Summary:
The value obtained for the total DFT energy (no corrections) is -4.227 eV per atom. Its formation energy from raw total energies is 0.242 eV per atom. Its crystal system is tetragonal. As for the calculated volume: 455.0 Å³ per cell. The calculation puts the total moment at 0.00 μB per formula unit.

Lattice parameters (Å, degrees): 5.256 5.256 16.475 90.00 90.00 90.00
Space group I4/mmm (No. 139)
Inequivalent atoms, fractional coordinates:
Tb1 0.000 0.000 0.000 x2
Dy1 0.000 0.000 0.184 x4
Dy2 0.000 0.500 0.000 x4
Sb1 0.000 0.000 0.367 x4


7.
The following is a PBE calculation of a geometry-optimized Tb5DySb6 structure, from the Alexandria database.

Summary:
The value obtained for the total DFT energy (no corrections) is -5.520 eV per atom. Its formation energy from raw total energies is -1.146 eV per atom. Its crystal system is monoclinic. As for the calculated volume: 722.2 Å³ per cell. The calculation puts the total moment at 0.00 μB per formula unit.

Lattice parameters (Å, degrees): 7.619 13.197 7.618 90.00 109.48 90.00
Space group C2/m (No. 12)
Inequivalent atoms, fractional coordinates:
Tb1 0.000 0.000 0.000 x2
Tb2 0.000 0.167 0.500 x4
Tb3 0.000 0.333 0.000 x4
Dy1 0.000 0.500 0.500 x2
Sb1 0.249 0.500 0.250 x4
Sb2 0.250 0.166 0.250 x8


8.
The following is a PBE calculation of a geometry-optimized Tb3DySb4 structure, from the Alexandria database.

Summary:
The value obtained for the total DFT energy (no corrections) is -5.523 eV per atom. Its formation energy from raw total energies is -1.150 eV per atom. Its crystal system is cubic. As for the calculated volume: 239.9 Å³ per cell. The calculation puts the total moment at 0.00 μB per formula unit.

Lattice parameters (Å, degrees): 6.213 6.213 6.213 90.00 90.00 90.00
Space group Pm-3m (No. 221)
Inequivalent atoms, fractional coordinates:
Tb1 0.000 0.000 0.500 x3
Dy1 0.500 0.500 0.500 x1
Sb1 0.000 0.000 0.000 x1
Sb2 0.000 0.500 0.500 x3


9.
The following is a PBE calculation of a geometry-optimized TbDy3Sb3 structure, from the Alexandria database.

Summary:
The value obtained for the total DFT energy (no corrections) is -5.304 eV per atom. Its formation energy from raw total energies is -0.904 eV per atom. Its crystal system is trigonal. As for the calculated volume: 1284.7 Å³ per cell. The offset from the most stable computed form is 94 meV/atom. The calculation puts the total moment at 0.00 μB per formula unit.

Lattice parameters (Å, degrees): 8.9768 8.9768 18.4084 90.00 90.00 120.00
Space group R-3 (No. 148, hexagonal axes)
Inequivalent atoms, fractional coordinates:
Tb1 0.0000 0.0000 0.1662 x6
Dy1 0.0027 0.2634 0.5847 x18
Sb1 0.0039 0.3875 0.4182 x18


10.
The following is a PBE calculation of a geometry-optimized TbDy3Sb4 structure, from the Alexandria database.

Summary:
The value obtained for the total DFT energy (no corrections) is -5.508 eV per atom. Its formation energy from raw total energies is -1.142 eV per atom. Its crystal system is cubic. As for the calculated volume: 238.4 Å³ per cell. The calculation puts the total moment at 0.00 μB per formula unit.

Lattice parameters (Å, degrees): 6.201 6.201 6.201 90.00 90.00 90.00
Space group Pm-3m (No. 221)
Inequivalent atoms, fractional coordinates:
Tb1 0.000 0.000 0.000 x1
Dy1 0.000 0.500 0.500 x3
Sb1 0.000 0.000 0.500 x3
Sb2 0.500 0.500 0.500 x1


11.
The following is a PBE calculation of a geometry-optimized Tb2Dy2Sb5 structure, from the Alexandria database.

Summary:
The value obtained for the total DFT energy (no corrections) is -5.201 eV per atom. Its formation energy from raw total energies is -0.859 eV per atom. Its crystal system is orthorhombic. As for the calculated volume: 1035.1 Å³ per cell. The calculation puts the total moment at 0.00 μB per formula unit.

Lattice parameters (Å, degrees): 15.727 8.004 8.223 90.00 90.00 90.00
Space group Cmce (No. 64)
Inequivalent atoms, fractional coordinates:
Tb1 0.191 0.000 0.000 x8
Dy1 0.000 0.157 0.339 x8
Sb1 0.000 0.000 0.000 x4
Sb2 0.140 0.146 0.646 x16


12.
The following is a PBE calculation of a geometry-optimized Tb2Dy3Sb2 structure, from the Alexandria database.

Summary:
The value obtained for the total DFT energy (no corrections) is -5.110 eV per atom. Its formation energy from raw total energies is -0.637 eV per atom. Its crystal system is monoclinic. As for the calculated volume: 414.4 Å³ per cell. The calculation puts the total moment at 0.00 μB per formula unit.

Lattice parameters (Å, degrees): 12.127 4.252 8.494 90.00 108.89 90.00
Space group C2/m (No. 12)
Inequivalent atoms, fractional coordinates:
Tb1 0.133 0.000 0.286 x4
Dy1 0.000 0.500 0.500 x2
Dy2 0.126 0.500 0.946 x4
Sb1 0.174 0.000 0.694 x4


13.
The following is a PBE calculation of a geometry-optimized TbDy4Sb5 structure, from the Alexandria database.

Summary:
The value obtained for the total DFT energy (no corrections) is -5.501 eV per atom. Its formation energy from raw total energies is -1.136 eV per atom. Its crystal system is orthorhombic. As for the calculated volume: 596.5 Å³ per cell. The calculation puts the total moment at 0.00 μB per formula unit.

Lattice parameters (Å, degrees): 4.388 6.200 21.926 90.00 90.00 90.00
Space group Immm (No. 71)
Inequivalent atoms, fractional coordinates:
Tb1 0.000 0.000 0.000 x2
Dy1 0.000 0.000 0.200 x4
Dy2 0.000 0.000 0.400 x4
Sb1 0.000 0.500 0.000 x2
Sb2 0.000 0.500 0.200 x4
Sb3 0.000 0.500 0.400 x4


14.
The following is a PBE calculation of a geometry-optimized Tb2DySb3 structure, from the Alexandria database.

Summary:
The value obtained for the total DFT energy (no corrections) is -5.515 eV per atom. Its formation energy from raw total energies is -1.143 eV per atom. Its crystal system is orthorhombic. As for the calculated volume: 360.2 Å³ per cell. The calculation puts the total moment at 0.00 μB per formula unit.

Lattice parameters (Å, degrees): 4.395 6.212 13.192 90.00 90.00 90.00
Space group Immm (No. 71)
Inequivalent atoms, fractional coordinates:
Tb1 0.000 0.000 0.167 x4
Dy1 0.000 0.000 0.500 x2
Sb1 0.000 0.500 0.166 x4
Sb2 0.000 0.500 0.500 x2


15.
The following is a PBE calculation of a geometry-optimized Tb2DySb2 structure, from the Alexandria database.

Summary:
The value obtained for the total DFT energy (no corrections) is -5.053 eV per atom. Its formation energy from raw total energies is -0.631 eV per atom. Its crystal system is monoclinic. As for the calculated volume: 623.3 Å³ per cell. The calculation puts the total moment at 0.00 μB per formula unit.

Lattice parameters (Å, degrees): 10.571 11.950 5.898 90.00 123.23 90.00
Space group C2/c (No. 15)
Inequivalent atoms, fractional coordinates:
Tb1 0.178 0.097 0.388 x8
Dy1 0.000 0.402 0.750 x4
Sb1 0.000 0.130 0.750 x4
Sb2 0.000 0.328 0.250 x4


16.
The following is a PBE calculation of a geometry-optimized Tb4Dy3Sb4 structure, from the Alexandria database.

Summary:
The value obtained for the total DFT energy (no corrections) is -5.202 eV per atom. Its formation energy from raw total energies is -0.764 eV per atom. Its crystal system is orthorhombic. As for the calculated volume: 639.6 Å³ per cell. The calculation puts the total moment at 0.00 μB per formula unit.

Lattice parameters (Å, degrees): 4.031 9.128 17.383 90.00 90.00 90.00
Space group Immm (No. 71)
Inequivalent atoms, fractional coordinates:
Tb1 0.000 0.181 0.169 x8
Dy1 0.000 0.000 0.401 x4
Dy2 0.000 0.500 0.500 x2
Sb1 0.000 0.292 0.000 x4
Sb2 0.000 0.500 0.233 x4


17.
The following is a PBE calculation of a geometry-optimized Tb3Dy4Sb4 structure, from the Alexandria database.

Summary:
The value obtained for the total DFT energy (no corrections) is -5.204 eV per atom. Its formation energy from raw total energies is -0.768 eV per atom. Its crystal system is orthorhombic. As for the calculated volume: 639.5 Å³ per cell. The calculation puts the total moment at 0.00 μB per formula unit.

Lattice parameters (Å, degrees): 4.051 9.145 17.262 90.00 90.00 90.00
Space group Immm (No. 71)
Inequivalent atoms, fractional coordinates:
Tb1 0.000 0.000 0.000 x2
Tb2 0.000 0.500 0.100 x4
Dy1 0.000 0.317 0.331 x8
Sb1 0.000 0.000 0.265 x4
Sb2 0.000 0.208 0.500 x4


18.
The following is a PBE calculation of a geometry-optimized Tb5Dy3Sb8 structure, from the Alexandria database.

Summary:
The value obtained for the total DFT energy (no corrections) is -5.513 eV per atom. Its formation energy from raw total energies is -1.142 eV per atom. Its crystal system is trigonal. As for the calculated volume: 1440.7 Å³ per cell. The calculation puts the total moment at 0.00 μB per formula unit.

Lattice parameters (Å, degrees): 8.7900 8.7900 21.5314 90.00 90.00 120.00
Space group R-3m (No. 166, hexagonal axes)
Inequivalent atoms, fractional coordinates:
Tb1 0.0000 0.0000 0.0000 x3
Tb2 0.0000 0.0000 0.5000 x3
Tb3 0.0000 0.5000 0.0000 x9
Dy1 0.0000 0.5000 0.5000 x9
Sb1 0.0000 0.0000 0.2496 x6
Sb2 0.0005 0.5003 0.7503 x18


19.
The following is a PBE calculation of a geometry-optimized TbDy3Sb3 structure, from the Alexandria database.

Summary:
The value obtained for the total DFT energy (no corrections) is -5.399 eV per atom. Its formation energy from raw total energies is -0.998 eV per atom. Its crystal system is cubic. As for the calculated volume: 779.0 Å³ per cell. The offset from the most stable computed form is 0 meV/atom. The calculation puts the total moment at 0.00 μB per formula unit.

Lattice parameters (Å, degrees): 9.201 9.201 9.201 90.00 90.00 90.00
Space group P2_13 (No. 198)
Inequivalent atoms, fractional coordinates:
Tb1 0.072 0.428 0.572 x4
Dy1 0.073 0.573 0.927 x4
Dy2 0.178 0.178 0.178 x4
Dy3 0.178 0.822 0.322 x4
Sb1 0.000 0.251 0.875 x12


20.
The following is a PBE calculation of a geometry-optimized TbDy5Sb4 structure, from the Alexandria database.

Summary:
The value obtained for the total DFT energy (no corrections) is -5.142 eV per atom. Its formation energy from raw total energies is -0.729 eV per atom. Its crystal system is monoclinic. As for the calculated volume: 650.2 Å³ per cell. The calculation puts the total moment at 0.00 μB per formula unit.

Lattice parameters (Å, degrees): 18.645 4.306 8.418 90.00 105.84 90.00
Space group C2/m (No. 12)
Inequivalent atoms, fractional coordinates:
Tb1 0.000 0.000 0.000 x2
Dy1 0.000 0.000 0.500 x2
Dy2 0.163 0.500 0.823 x4
Dy3 0.178 0.500 0.350 x4
Sb1 0.008 0.500 0.259 x4
Sb2 0.170 0.000 0.087 x4


21.
The following is a PBE calculation of a geometry-optimized TbDy5Sb6 structure, from the Alexandria database.

Summary:
The value obtained for the total DFT energy (no corrections) is -5.500 eV per atom. Its formation energy from raw total energies is -1.135 eV per atom. Its crystal system is monoclinic. As for the calculated volume: 716.3 Å³ per cell. The calculation puts the total moment at 0.00 μB per formula unit.

Lattice parameters (Å, degrees): 7.599 13.162 7.597 90.00 109.48 90.00
Space group C2/m (No. 12)
Inequivalent atoms, fractional coordinates:
Tb1 0.000 0.000 0.000 x2
Dy1 0.000 0.166 0.500 x4
Dy2 0.000 0.333 0.000 x4
Dy3 0.000 0.500 0.500 x2
Sb1 0.249 0.333 0.749 x8
Sb2 0.249 0.500 0.250 x4


22.
The following is a PBE calculation of a geometry-optimized TbDySbTe structure, from the Alexandria database.

Summary:
The value obtained for the total DFT energy (no corrections) is -5.343 eV per atom. Its formation energy from raw total energies is -1.219 eV per atom. Its crystal system is trigonal. As for the calculated volume: 361.5 Å³ per cell. The calculation puts the total moment at 0.00 μB per formula unit.

Lattice parameters (Å, degrees): 4.2924 4.2924 22.6547 90.00 90.00 120.00
Space group R3m (No. 160, hexagonal axes)
Inequivalent atoms, fractional coordinates:
Tb1 0.0000 0.0000 0.0000 x3
Dy1 0.0000 0.0000 0.8218 x3
Sb1 0.0000 0.0000 0.4129 x3
Te1 0.0000 0.0000 0.2428 x3